[1]
CaPrHgPt: optimized geometry, PBE-GGA.

Unit cell a=5.209 b=5.209 c=5.209 alpha=60.00 beta=60.00 gamma=60.00
Atoms (fractional coordinates):
1 Ca 0.000 0.000 0.000
2 Pr 0.500 0.500 0.500
3 Hg 0.250 0.250 0.250
4 Pt 0.750 0.750 0.750

Properties
For the formation energy, the calculation gives -0.73 eV/atom. The energy above the most stable polymorph in this dataset comes out at 0.031 eV/atom.

=====

[2]
GeAuF2: optimized geometry, PBE-GGA.

Unit cell a=9.703 b=9.703 c=9.703 alpha=18.83 beta=18.83 gamma=18.83
Atoms (fractional coordinates):
1 Ge 0.000 0.000 0.000
2 Au 0.500 0.500 0.500
3 F 0.378 0.378 0.378
4 F 0.622 0.622 0.622

Properties
As for the formation energy from raw total energies: -1056 meV per atom. The energy above the most stable polymorph in this dataset comes out at 0.000 eV/atom.

=====

[3]
Dy3SbOs: optimized geometry, PBE-GGA.

Unit cell a=7.875 b=7.875 c=8.685 alpha=120.38 beta=120.38 gamma=36.50
Atoms (fractional coordinates):
1 Dy 0.072 0.072 0.220
2 Dy 0.248 0.248 0.762
3 Dy 0.402 0.402 0.200
4 Dy 0.598 0.598 0.800
5 Dy 0.752 0.752 0.238
6 Dy 0.928 0.928 0.780
7 Sb 0.354 0.354 0.511
8 Sb 0.646 0.646 0.489
9 Os 0.167 0.167 0.002
10 Os 0.833 0.833 0.998

Properties
As for the formation energy from raw total energies: -512 meV per atom.

=====

[4]
MnBeCuNi2: optimized geometry, PBE-GGA.

Unit cell a=4.293 b=4.293 c=4.368 alpha=90.00 beta=90.00 gamma=90.00
Atoms (fractional coordinates):
1 Mn 0.000 0.000 0.000
2 Be 0.500 0.500 0.000
3 Cu 0.000 0.000 0.500
4 Ni 0.000 0.500 0.500
5 Ni 0.500 0.000 0.500

Properties
For the formation energy, the calculation gives 1.19 eV/atom.

=====

[5]
Tb3ErAu4: optimized geometry, PBE-GGA.

Unit cell a=7.657 b=7.657 c=5.481 alpha=108.38 beta=108.38 gamma=40.33
Atoms (fractional coordinates):
1 Tb 0.000 0.000 0.000
2 Tb 0.177 0.177 0.603
3 Tb 0.823 0.823 0.397
4 Er 0.500 0.500 0.500
5 Au 0.262 0.262 0.185
6 Au 0.393 0.393 0.874
7 Au 0.607 0.607 0.126
8 Au 0.738 0.738 0.815

Properties
For the formation energy, the calculation gives -0.66 eV/atom. The energy above the most stable polymorph in this dataset comes out at 0.199 eV/atom.

=====

[6]
V2AgAu2: optimized geometry, PBE-GGA.

Unit cell a=7.712 b=7.712 c=2.842 alpha=90.00 beta=90.00 gamma=90.00
Atoms (fractional coordinates):
1 V 0.168 0.332 0.000
2 V 0.332 0.832 0.000
3 V 0.668 0.168 0.000
4 V 0.832 0.668 0.000
5 Ag 0.000 0.000 0.500
6 Ag 0.500 0.500 0.500
7 Au 0.129 0.629 0.500
8 Au 0.371 0.129 0.500
9 Au 0.629 0.871 0.500
10 Au 0.871 0.371 0.500

Properties
For the formation energy, the calculation gives 0.27 eV/atom. The energy above the most stable polymorph in this dataset comes out at 0.056 eV/atom.

=====

[7]
NdHfCu: optimized geometry, PBE-GGA.

Unit cell a=6.412 b=6.412 c=6.412 alpha=149.43 beta=149.43 gamma=43.78
Atoms (fractional coordinates):
1 Nd 0.000 0.000 0.000
2 Hf 0.298 0.298 0.000
3 Cu 0.686 0.686 0.000

Properties
For the formation energy, the calculation gives 0.00 eV/atom. The energy above the most stable polymorph in this dataset comes out at 0.000 eV/atom.

=====

[8]
U3BiN4: optimized geometry, PBE-GGA.

Unit cell a=3.842 b=3.842 c=9.089 alpha=90.00 beta=90.00 gamma=90.00
Atoms (fractional coordinates):
1 U 0.000 0.000 0.000
2 U 0.500 0.500 0.266
3 U 0.500 0.500 0.734
4 Bi 0.000 0.000 0.500
5 N 0.000 0.500 0.151
6 N 0.000 0.500 0.849
7 N 0.500 0.000 0.151
8 N 0.500 0.000 0.849

Properties
As for the formation energy from raw total energies: -1256 meV per atom.